A geometry-optimized Cu2RhAu2 structure, computed with PBE.

CIF file:
```
data_Cu2RhAu2
_cell_length_a 3.4047
_cell_length_b 3.4047
_cell_length_c 13.9321
_cell_angle_alpha 90.00
_cell_angle_beta 90.00
_cell_angle_gamma 90.00
_space_group_name_H-M_alt 'I 4/m m m'
_space_group_IT_number 139
_space_group_name_Hall '-I 4 2'
loop_
_atom_site_label
_atom_site_type_symbol
_atom_site_fract_x
_atom_site_fract_y
_atom_site_fract_z
Cu1 Cu 0.0000 0.5000 0.2500
Rh1 Rh 0.0000 0.0000 0.0000
Au1 Au 0.0000 0.0000 0.3967
```

Values from the calculation:
Its density is 12.83 Mg/m³. The energy relative to the lowest polymorph listed for this composition comes out at 87 meV per atom. The value obtained for the calculated total energy is -4.10 eV/atom. The calculation puts the formation energy at 0.320 eV per atom.